[1]
The following is a DFT calculation (PBE-GGA) of a relaxed Fe2IrRh crystal.

abc: 2.663 2.663 8.572
angles: 90.00 90.00 115.20
Element x y z (fractional)
Fe: 0.000 0.000 0.248
Fe: 0.000 0.000 0.752
Ir: 0.500 0.500 0.500
Rh: 0.500 0.500 0.000

Computed properties:
DFT total energy in eV for the cell shown: -32.77
Space group: Cmmm (65)
D(E_F) in states/eV per cell: 3.917
Spin magnetization in μB per atom: 1.8123
Crystal system: orthorhombic

=====

[2]
The following is a DFT calculation (PBE-GGA) of a relaxed FeIr3Rh6 crystal.

abc: 4.957 4.957 6.910
angles: 90.00 90.00 120.00
Element x y z (fractional)
Fe: 0.000 0.000 0.000
Ir: 0.000 0.000 0.500
Ir: 0.333 0.667 0.500
Ir: 0.667 0.333 0.500
Rh: 0.000 0.393 0.811
Rh: 0.000 0.607 0.189
Rh: 0.393 0.000 0.811
Rh: 0.393 0.393 0.189
Rh: 0.607 0.000 0.189
Rh: 0.607 0.607 0.811

Computed properties:
Relative energy among the computed polymorphs in kJ/mol of formula units: 242.0
DFT total energy in eV for the cell shown: -76.51
Space group: P-31m (162)
D(E_F) in states/eV per cell: 12.190
Spin magnetization in μB per atom: 0.2820
Crystal system: trigonal

=====

[3]
The following is a DFT calculation (PBE-GGA) of a relaxed FeIr2Rh crystal.

abc: 2.712 3.758 5.437
angles: 90.00 90.00 90.00
Element x y z (fractional)
Fe: 0.000 0.000 0.000
Ir: 0.500 0.500 0.244
Ir: 0.500 0.500 0.756
Rh: 0.000 0.000 0.500

Computed properties:
DFT total energy in eV for the cell shown: -33.63
Space group: Pmmm (47)
D(E_F) in states/eV per cell: 4.899
Spin magnetization in μB per atom: 0.6499
Crystal system: orthorhombic

=====

[4]
The following is a DFT calculation (PBE-GGA) of a relaxed FeIr2Rh8 crystal.

abc: 6.371 6.371 4.191
angles: 90.00 90.00 103.16
Element x y z (fractional)
Fe: 0.000 0.000 0.000
Ir: 0.375 0.625 0.500
Ir: 0.625 0.375 0.500
Rh: 0.033 0.298 0.500
Rh: 0.243 0.757 0.000
Rh: 0.298 0.033 0.500
Rh: 0.328 0.328 0.000
Rh: 0.672 0.672 0.000
Rh: 0.702 0.967 0.500
Rh: 0.757 0.243 0.000
Rh: 0.967 0.702 0.500

Computed properties:
DFT total energy in eV for the cell shown: -82.40
Space group: Cmmm (65)
D(E_F) in states/eV per cell: 15.012
Spin magnetization in μB per atom: 0.4156
Crystal system: orthorhombic

=====

> Which value of DFT total energy does entry 4 give?

-82.40 eV for the cell shown